VASP calculation (PBE) on a relaxed structure of Pr2Ge6Os.

## Properties
E_tot ... -5.788 eV per atom
Calculated formation energy ... -0.400 eV per atom

Unit cell a=6.1276 b=6.1276 c=5.5154 alpha=90.00 beta=90.00 gamma=120.00
Space group P-3m1 (No. 164)
Unique sites:
Pr 0.3333 0.6667 0.3137
Ge 0.1793 0.3585 0.8103
Os 0.0000 0.0000 0.5000